Entry 1:
A plane-wave DFT calculation with GGA-PBE was carried out for a geometry-optimized La8NiRh3Br4 structure. Values from VASP.

Cell and atoms, written as Quantum ESPRESSO input:
```
&SYSTEM
  ibrav = 0, nat = 16, ntyp = 4
/
ATOMIC_SPECIES
La 138.91 La.upf
Ni 58.69 Ni.upf
Rh 102.91 Rh.upf
Br 79.90 Br.upf
ATOMIC_POSITIONS crystal
La 0.2307 0.6948 0.9646
La 0.2307 0.6947 0.4613
La 0.2671 0.3021 0.5343
La 0.7338 0.6948 0.9646
La 0.2662 0.3052 0.0354
La 0.7329 0.6979 0.4657
La 0.7693 0.3053 0.5387
La 0.7693 0.3052 0.0354
Ni 0.0000 0.5000 0.0000
Rh 0.5000 0.5000 0.0000
Rh 0.5000 0.5000 0.5000
Rh 0.0000 0.5000 0.5000
Br 0.5000 0.0000 0.0000
Br 0.5000 0.0000 0.5000
Br 0.0000 0.0000 0.0000
Br 0.0000 0.0000 0.5000
CELL_PARAMETERS angstrom
8.3607 0.0000 0.0000
0.0000 9.2763 0.6252
-4.1803 -4.1708 5.9211
```

Values from the calculation:
V   481 Å³ per cell
SG   R-3m, No. 166



Entry 2:
A plane-wave DFT calculation with GGA-PBE was carried out for a geometry-optimized Cd2CoTeAs structure. Values from VASP.

Cell and atoms, written as Quantum ESPRESSO input:
```
&SYSTEM
  ibrav = 0, nat = 5, ntyp = 4
/
ATOMIC_SPECIES
As 74.92 As.upf
Te 127.60 Te.upf
Co 58.93 Co.upf
Cd 112.41 Cd.upf
ATOMIC_POSITIONS crystal
As 0.0000 0.0000 0.0000
Te 0.0000 0.5000 0.0000
Co 0.5000 0.5000 0.5000
Cd 0.0000 0.0000 0.5000
Cd 0.5000 0.0000 0.0000
CELL_PARAMETERS angstrom
-2.3897 4.2163 -1.6078
-4.4946 -1.2715 3.3459
2.0994 2.6493 3.8270
```

Values from the calculation:
V   150 Å³ per cell
SG   P4/mmm, No. 123



no.,formation energy from raw total energies (eV per atom)
1,-1.11
2,0.87